Compound: ScNbFeTc2
Source: Alexandria
Functional: meta-GGA SCAN
Structure: single point on PBEsol structure

Unit cell a=4.128 b=4.493 c=4.493 alpha=90.00 beta=90.00 gamma=90.00
Fractional positions:
Tc (0.000, 0.500, 0.000)
Tc (0.000, 0.000, 0.500)
Fe (0.500, 0.000, 0.000)
Nb (0.500, 0.500, 0.500)
Sc (0.000, 0.000, 0.000)

Computed properties:
- Calculated formation energy: 747 kJ/mol of formula units
- Total magnetic moment: 2.36 Bohr magnetons per cell